No. 1
DFT (PBE) results for a relaxed structure of Ho3SiNi4.

## Properties
As for the space group: Pm (6). The calculation puts the final energy at -45.12 eV/cell. The size of the total moment comes out at 0.00 μB/atom. The calculation puts the calculated volume at 137.12 Å³/cell.

a b c (Å): 5.141 4.093 6.546
angles (deg): 90.00 95.30 90.00
Atoms (fractional coordinates):
Ni: 0.111 0.500 0.446
Ni: 0.655 0.000 0.100
Ni: 0.403 0.500 0.987
Ni: 0.808 0.000 0.475
Si: 0.626 0.500 0.336
Ho: 0.364 0.000 0.674
Ho: 0.864 0.500 0.801
Ho: 0.170 0.000 0.181

=====

No. 2
DFT (PBE) results for a relaxed structure of Ho4SiNi3.

## Properties
As for the space group: Pm (6). The calculation puts the final energy at -44.84 eV/cell. The size of the total moment comes out at 0.01 μB/atom. The calculation puts the calculated volume at 162.32 Å³/cell.

a b c (Å): 5.522 4.081 7.203
angles (deg): 90.00 90.14 90.00
Atoms (fractional coordinates):
Ni: 0.873 0.000 0.964
Ni: 0.615 0.000 0.469
Ni: 0.120 0.500 0.033
Ho: 0.872 0.500 0.677
Ho: 0.636 0.500 0.182
Ho: 0.131 0.000 0.310
Ho: 0.376 0.000 0.828
Si: 0.378 0.500 0.537

=====

No. 3
DFT (PBE) results for a relaxed structure of HoSi3Ni4.

## Properties
As for the space group: Pm (6). The calculation puts the final energy at -47.26 eV/cell. The size of the total moment comes out at 0.00 μB/atom. The calculation puts the calculated volume at 110.76 Å³/cell.

a b c (Å): 5.058 3.840 5.771
angles (deg): 90.00 98.79 90.00
Atoms (fractional coordinates):
Ho: 0.695 0.000 0.697
Ni: 0.590 0.500 0.044
Ni: 0.181 0.000 0.496
Ni: 0.254 0.000 0.039
Ni: 0.874 0.500 0.420
Si: 0.836 0.000 0.183
Si: 0.366 0.500 0.354
Si: 0.204 0.500 0.767

=====

No. 4
DFT (PBE) results for a relaxed structure of Ho3Si3Ni.

## Properties
As for the space group: C2/m (12). The calculation puts the final energy at -82.75 eV/cell. The size of the total moment comes out at 0.00 μB/atom. The calculation puts the calculated volume at 271.89 Å³/cell.

a b c (Å): 5.558 5.558 13.489
angles (deg): 108.96 108.96 44.16
Atoms (fractional coordinates):
Si: 0.864 0.864 0.457
Si: 0.046 0.046 0.236
Si: 0.886 0.886 0.924
Si: 0.114 0.114 0.076
Si: 0.136 0.136 0.543
Si: 0.954 0.954 0.764
Ni: 0.247 0.247 0.403
Ni: 0.753 0.753 0.597
Ho: 0.253 0.253 0.772
Ho: 0.470 0.470 0.620
Ho: 0.530 0.530 0.380
Ho: 0.747 0.747 0.228
Ho: 0.398 0.398 0.079
Ho: 0.602 0.602 0.921